{
  "formula": "LiSbSe2",
  "functional": "PBE-GGA",
  "state": "relaxed",
  "lattice": [[-2.940, 1.855, -1.089], [-0.907, -2.839, 2.094], [0.481, 4.336, 6.087]],
  "species": ["Se", "Se", "Sb", "Li"],
  "fractional_positions": [[0.000, 0.000, 0.486], [0.000, 0.000, 0.014], [0.500, 0.500, 0.750], [0.500, 0.500, 0.250]],
  "spacegroup": "No. 65",
  "e_form_raw_ev_per_atom": -0.300,
  "e_tot_ev_per_atom": -3.55
}